Entry 1:
{"formula": "Nd8ZnSn2", "functional": "PBE", "state": "relaxed", "crystal_system": "monoclinic", "dft_energy_ev_per_cell": -51.0, "ef_mev_per_atom": -326, "magmom_total_mub_per_cell": 0.00, "lattice_angstrom": [[9.863, -2.621, 0.000], [9.863, 2.621, 0.000], [-1.863, 0.000, 6.672]], "species": ["Nd", "Nd", "Nd", "Nd", "Nd", "Nd", "Nd", "Nd", "Zn", "Sn", "Sn"], "fractional_positions": [[0.014, 0.014, 0.279], [0.214, 0.214, 0.815], [0.346, 0.346, 0.504], [0.408, 0.408, 0.025], [0.592, 0.592, 0.975], [0.654, 0.654, 0.496], [0.786, 0.786, 0.185], [0.986, 0.986, 0.721], [0.500, 0.500, 0.500], [0.178, 0.178, 0.249], [0.822, 0.822, 0.751]]}

=====

Entry 2:
{"formula": "Cs4H4Ir", "functional": "PBE", "state": "relaxed", "crystal_system": "tetragonal", "dft_energy_ev_per_cell": -27.2, "magmom_total_mub_per_cell": 0.44, "lattice_angstrom": [[-5.756, 5.756, 2.331], [5.756, -5.756, 2.331], [5.756, 5.756, -2.331]], "species": ["Cs", "Cs", "Cs", "Cs", "H", "H", "H", "H", "Ir"], "fractional_positions": [[0.068, 0.771, 0.839], [0.229, 0.068, 0.297], [0.771, 0.932, 0.703], [0.932, 0.229, 0.161], [0.369, 0.571, 0.940], [0.429, 0.369, 0.798], [0.571, 0.631, 0.202], [0.631, 0.429, 0.060], [0.500, 0.500, 0.000]]}

=====

Entry 3:
{"formula": "Th2InPd", "functional": "PBE", "state": "relaxed", "crystal_system": "trigonal", "dft_energy_ev_per_cell": -68.7, "ef_mev_per_atom": -31, "magmom_total_mub_per_cell": 0.00, "lattice_angstrom": [[3.529, 0.000, 0.000], [-1.765, 3.056, 0.000], [0.000, 0.000, 33.097]], "species": ["Th", "Th", "Th", "Th", "Th", "Th", "In", "In", "In", "Pd", "Pd", "Pd"], "fractional_positions": [[0.000, 0.000, 0.101], [0.000, 0.000, 0.899], [0.333, 0.667, 0.566], [0.333, 0.667, 0.767], [0.667, 0.333, 0.233], [0.667, 0.333, 0.434], [0.000, 0.000, 0.000], [0.333, 0.667, 0.667], [0.667, 0.333, 0.333], [0.000, 0.000, 0.500], [0.333, 0.667, 0.167], [0.667, 0.333, 0.833]]}

=====

Entry 4:
{"formula": "CaAl4Ir", "functional": "PBE", "state": "relaxed", "crystal_system": "cubic", "dft_energy_ev_per_cell": -26.2, "ef_mev_per_atom": -60, "magmom_total_mub_per_cell": 0.00, "lattice_angstrom": [[0.000, 3.749, 3.749], [3.749, 0.000, 3.749], [3.749, 3.749, 0.000]], "species": ["Ca", "Al", "Al", "Al", "Al", "Ir"], "fractional_positions": [[0.000, 0.000, 0.000], [0.375, 0.375, 0.375], [0.375, 0.375, 0.876], [0.375, 0.876, 0.375], [0.876, 0.375, 0.375], [0.750, 0.750, 0.750]]}

=====

Entry 5:
{"formula": "KRbAu2Br8", "functional": "PBE", "state": "relaxed", "crystal_system": "tetragonal", "dft_energy_ev_per_cell": -30.1, "formation_energy_uncorrected_ev_per_atom": -0.68, "magmom_total_mub_per_cell": 0.00, "lattice_angstrom": [[-3.927, 3.927, 7.139], [3.927, -3.927, 7.139], [3.927, 3.927, -7.139]], "species": ["K", "Rb", "Au", "Au", "Br", "Br", "Br", "Br", "Br", "Br", "Br", "Br"], "fractional_positions": [[0.000, 0.000, 0.000], [0.750, 0.250, 0.500], [0.250, 0.750, 0.500], [0.500, 0.500, 0.000], [0.178, 0.048, 0.750], [0.182, 0.423, 0.623], [0.298, 0.428, 0.250], [0.441, 0.818, 0.241], [0.572, 0.822, 0.870], [0.577, 0.200, 0.759], [0.800, 0.559, 0.377], [0.952, 0.702, 0.130]]}

=====

Entry 6:
{"formula": "CaTm3Au2", "functional": "PBE", "state": "relaxed", "crystal_system": "orthorhombic", "dft_energy_ev_per_cell": -51.6, "ef_mev_per_atom": -639, "magmom_total_mub_per_cell": 0.00, "lattice_angstrom": [[4.881, 0.000, 0.000], [0.000, 8.839, 0.000], [0.000, 0.000, 7.256]], "species": ["Ca", "Ca", "Tm", "Tm", "Tm", "Tm", "Tm", "Tm", "Au", "Au", "Au", "Au"], "fractional_positions": [[0.000, 0.073, 0.000], [0.000, 0.927, 0.500], [0.000, 0.328, 0.628], [0.000, 0.672, 0.128], [0.500, 0.179, 0.333], [0.500, 0.427, 0.961], [0.500, 0.573, 0.461], [0.500, 0.821, 0.833], [0.000, 0.359, 0.233], [0.000, 0.641, 0.733], [0.500, 0.152, 0.726], [0.500, 0.848, 0.226]]}

=====

Entry 7:
{"formula": "BaHgIr2", "functional": "PBE", "state": "relaxed", "crystal_system": "monoclinic", "dft_energy_ev_per_cell": -39.7, "ef_mev_per_atom": 23, "magmom_total_mub_per_cell": 0.00, "lattice_angstrom": [[8.129, 0.000, 0.000], [0.000, 4.692, 0.000], [-2.717, 0.000, 5.657]], "species": ["Ba", "Ba", "Hg", "Hg", "Ir", "Ir", "Ir", "Ir"], "fractional_positions": [[0.000, 0.000, 0.000], [0.500, 0.500, 0.000], [0.000, 0.500, 0.500], [0.500, 0.000, 0.500], [0.176, 0.000, 0.529], [0.324, 0.500, 0.471], [0.676, 0.500, 0.529], [0.824, 0.000, 0.471]]}

=====

Entry 8:
{"formula": "Hf4PbSe8", "functional": "PBE", "state": "relaxed", "crystal_system": "trigonal", "dft_energy_ev_per_cell": -86.9, "formation_energy_uncorrected_ev_per_atom": -1.19, "magmom_total_mub_per_cell": 0.00, "lattice_angstrom": [[3.744, 2.162, 7.491], [-3.744, 2.162, 7.491], [0.000, -4.323, 7.491]], "species": ["Hf", "Hf", "Hf", "Hf", "Pb", "Se", "Se", "Se", "Se", "Se", "Se", "Se", "Se"], "fractional_positions": [[0.000, 0.000, 0.000], [0.000, 0.500, 0.500], [0.500, 0.000, 0.500], [0.500, 0.500, 0.000], [0.500, 0.500, 0.500], [0.237, 0.237, 0.742], [0.237, 0.742, 0.237], [0.258, 0.763, 0.763], [0.263, 0.263, 0.263], [0.737, 0.737, 0.737], [0.742, 0.237, 0.237], [0.763, 0.258, 0.763], [0.763, 0.763, 0.258]]}

=====

Entry 9:
{"formula": "Ba2YTiTl", "functional": "PBE", "state": "relaxed", "crystal_system": "tetragonal", "dft_energy_ev_per_cell": -17.7, "ef_mev_per_atom": 574, "magmom_total_mub_per_cell": 1.38, "lattice_angstrom": [[6.121, 0.000, 0.000], [0.000, 6.121, 0.000], [0.000, 0.000, 5.461]], "species": ["Ba", "Ba", "Y", "Ti", "Tl"], "fractional_positions": [[0.000, 0.500, 0.000], [0.500, 0.000, 0.000], [0.000, 0.000, 0.500], [0.000, 0.000, 0.000], [0.500, 0.500, 0.500]]}

=====

Entry 10:
{"formula": "BaMg2Cl", "functional": "PBE", "state": "relaxed", "crystal_system": "monoclinic", "dft_energy_ev_per_cell": -19.3, "formation_energy_uncorrected_ev_per_atom": -0.67, "magmom_total_mub_per_cell": 0.00, "lattice_angstrom": [[14.426, 0.000, 0.000], [0.000, 4.683, 0.000], [-1.190, 0.000, 3.983]], "species": ["Ba", "Ba", "Mg", "Mg", "Mg", "Mg", "Cl", "Cl"], "fractional_positions": [[0.000, 0.000, 0.000], [0.500, 0.500, 0.000], [0.248, 0.000, 0.748], [0.252, 0.500, 0.252], [0.748, 0.500, 0.748], [0.752, 0.000, 0.252], [0.000, 0.500, 0.500], [0.500, 0.000, 0.500]]}

=====

Entry 11:
{"formula": "HfVNiRh", "functional": "PBE", "state": "relaxed", "crystal_system": "cubic", "dft_energy_ev_per_cell": -133.9, "ef_mev_per_atom": -319, "magmom_total_mub_per_cell": 8.81, "lattice_angstrom": [[6.255, 0.000, 0.000], [0.000, 6.255, 0.000], [0.000, 0.000, 6.255]], "species": ["Hf", "Hf", "Hf", "Hf", "V", "V", "V", "V", "Ni", "Ni", "Ni", "Ni", "Rh", "Rh", "Rh", "Rh"], "fractional_positions": [[0.000, 0.000, 0.000], [0.000, 0.500, 0.500], [0.500, 0.000, 0.500], [0.500, 0.500, 0.000], [0.000, 0.000, 0.500], [0.000, 0.500, 0.000], [0.500, 0.000, 0.000], [0.500, 0.500, 0.500], [0.250, 0.250, 0.250], [0.250, 0.750, 0.750], [0.750, 0.250, 0.750], [0.750, 0.750, 0.250], [0.250, 0.250, 0.750], [0.250, 0.750, 0.250], [0.750, 0.250, 0.250], [0.750, 0.750, 0.750]]}

=====

Entry 12:
{"formula": "KTeS2", "functional": "PBE", "state": "relaxed", "crystal_system": "trigonal", "dft_energy_ev_per_cell": -39.0, "formation_energy_uncorrected_ev_per_atom": -0.13, "magmom_total_mub_per_cell": 0.00, "lattice_angstrom": [[4.254, 0.000, 0.000], [-2.127, 3.684, 0.000], [0.000, 0.000, 25.815]], "species": ["K", "K", "K", "Te", "Te", "Te", "S", "S", "S", "S", "S", "S"], "fractional_positions": [[0.000, 0.000, 0.000], [0.333, 0.667, 0.667], [0.667, 0.333, 0.333], [0.000, 0.000, 0.500], [0.333, 0.667, 0.167], [0.667, 0.333, 0.833], [0.000, 0.000, 0.116], [0.000, 0.000, 0.884], [0.333, 0.667, 0.551], [0.333, 0.667, 0.783], [0.667, 0.333, 0.217], [0.667, 0.333, 0.449]]}